## LiLaRe2 (PBE)

Data for LiLaRe2 after structural relaxation.

## Properties
Energy above the most stable polymorph in this dataset   246 meV/atom
Fermi-level density of states   2.920 states/eV/f.u.
Magnetic moment   0.49 μB per cell
Raw total energy   -29.8 eV/cell
V   75.4 Å³/cell

```
LiLaRe2
1.0
10.348 -0.008 -0.005
9.939 2.883 -0.005
9.939 1.408 2.515
Li Re La
1 2 1
Direct
0.736 0.736 0.736 Li
0.263 0.263 0.263 Re
0.995 0.995 0.995 Re
0.505 0.505 0.505 La
```

## CeCl2F4 (PBE)

Data for CeCl2F4 after structural relaxation.

## Properties
E_form (uncorrected)   -2.60 eV per atom
Fermi-level density of states   3.983 states/eV/f.u.
Magnetic moment   0.15 μB per cell
Raw total energy   -35.3 eV/cell
V   148.0 Å³/cell

```
CeCl2F4
1.0
3.844 0.102 -0.291
-0.127 3.885 -0.279
0.446 2.338 9.695
F Cl Ce
4 2 1
Direct
0.006 0.447 0.125 F
0.493 0.053 0.875 F
0.994 0.553 0.875 F
0.507 0.947 0.125 F
0.000 0.133 0.406 Cl
0.000 0.867 0.594 Cl
0.000 0.000 0.000 Ce
```